Entry 1:
DFT (PBE) results for a relaxed structure of Ca2Tl3Ga2.

Results
* calculated formation energy: -0.29 eV/atom
* E: -2.74 eV per atom

Unit cell a=4.007 b=4.292 c=11.283 alpha=100.97 beta=90.00 gamma=90.00
Fractional coordinates of all 7 atoms:
Ga 0.500 0.719 0.438
Ga 0.500 0.281 0.562
Tl 0.500 0.420 0.840
Tl 0.000 0.000 0.000
Tl 0.500 0.580 0.160
Ca 0.000 0.165 0.330
Ca 0.000 0.835 0.670


Entry 2:
DFT (PBE) results for a relaxed structure of NaNi2RhW.

Results
* calculated formation energy: 1.79 eV/atom
* E: -4.85 eV per atom

Unit cell a=4.126 b=4.464 c=4.126 alpha=90.00 beta=90.00 gamma=90.00
Fractional coordinates of all 5 atoms:
Na 0.000 0.000 0.000
Ni 0.000 0.000 0.500
Ni 0.500 0.000 0.000
Rh 0.000 0.500 0.000
W 0.500 0.500 0.500


Entry 3:
DFT (PBE) results for a relaxed structure of AlZnN2.

Results
* E: -5.51 eV per atom

Unit cell a=6.017 b=6.017 c=6.017 alpha=28.97 beta=28.97 gamma=28.97
Fractional coordinates of all 4 atoms:
Zn 0.000 0.000 0.000
Al 0.500 0.500 0.500
N 0.894 0.894 0.894
N 0.106 0.106 0.106


Entry 4:
DFT (PBE) results for a relaxed structure of Ac6Tl2Si.

Results
* E: -4.11 eV per atom

Unit cell a=6.879 b=9.386 c=10.918 alpha=90.00 beta=90.23 gamma=90.00
Fractional coordinates of all 18 atoms:
Ac 0.377 0.814 0.059
Ac 0.873 0.668 0.942
Ac 0.113 0.037 0.769
Ac 0.877 0.686 0.559
Ac 0.613 0.463 0.269
Ac 0.887 0.963 0.231
Ac 0.127 0.332 0.058
Ac 0.123 0.314 0.441
Ac 0.623 0.186 0.941
Ac 0.373 0.832 0.442
Ac 0.627 0.168 0.558
Ac 0.387 0.537 0.731
Tl 0.929 0.380 0.744
Tl 0.571 0.880 0.756
Tl 0.429 0.120 0.244
Tl 0.071 0.620 0.256
Si 0.000 0.000 0.500
Si 0.500 0.500 0.000


Entry 5:
DFT (PBE) results for a relaxed structure of Mn2IrAu.

Results
* calculated formation energy: 0.59 eV/atom
* E: -7.03 eV per atom

Unit cell a=4.272 b=4.272 c=4.272 alpha=60.00 beta=60.00 gamma=60.00
Fractional coordinates of all 4 atoms:
Ir 0.000 0.000 0.000
Mn 0.250 0.250 0.250
Mn 0.750 0.750 0.750
Au 0.500 0.500 0.500


Entry 6:
DFT (PBE) results for a relaxed structure of Co2SiTe.

Results
* E: -5.36 eV per atom

Unit cell a=5.060 b=5.060 c=5.060 alpha=138.31 beta=138.31 gamma=60.43
Fractional coordinates of all 4 atoms:
Co 0.250 0.750 0.500
Co 0.000 0.000 0.000
Te 0.750 0.250 0.500
Si 0.500 0.500 0.000


Entry 7:
DFT (PBE) results for a relaxed structure of K2NdReO6.

Results
* E: -7.09 eV per atom

Unit cell a=6.029 b=6.029 c=6.029 alpha=120.00 beta=120.00 gamma=90.00
Fractional coordinates of all 10 atoms:
O 0.223 0.777 0.000
O 0.223 0.224 0.446
O 0.777 0.777 0.553
O 0.777 0.777 0.000
O 0.223 0.224 0.000
O 0.777 0.224 0.000
K 0.750 0.251 0.500
K 0.250 0.750 0.500
Nd 0.500 0.500 0.000
Re 0.000 0.000 0.000


Entry 8:
DFT (PBE) results for a relaxed structure of TlTe2As.

Results
* E: -3.22 eV per atom

Unit cell a=6.576 b=6.576 c=6.576 alpha=147.46 beta=126.98 gamma=63.61
Fractional coordinates of all 4 atoms:
Te 0.767 0.267 0.500
Te 0.030 0.030 0.000
Tl 0.499 0.499 0.000
As 0.205 0.705 0.500


Entry 9:
DFT (PBE) results for a relaxed structure of SrTe2Cl.

Results
* E: -3.63 eV per atom

Unit cell a=5.451 b=5.451 c=6.929 alpha=67.45 beta=67.45 gamma=47.53
Fractional coordinates of all 4 atoms:
Cl 0.562 0.562 0.391
Te 0.956 0.956 0.917
Te 0.720 0.720 0.807
Sr 0.262 0.262 0.385


Entry 10:
DFT (PBE) results for a relaxed structure of VSn2N2.

Results
* E: -6.39 eV per atom

Unit cell a=5.903 b=5.903 c=4.386 alpha=90.00 beta=90.00 gamma=90.00
Fractional coordinates of all 10 atoms:
Sn 0.824 0.324 0.500
Sn 0.676 0.824 0.500
Sn 0.176 0.676 0.500
Sn 0.324 0.176 0.500
N 0.757 0.257 0.000
N 0.743 0.757 0.000
N 0.257 0.243 0.000
N 0.243 0.743 0.000
V 0.500 0.500 0.000
V 0.000 0.000 0.000


Entry 11:
DFT (PBE) results for a relaxed structure of Pm3Cu4Ag2.

Results
* calculated formation energy: -0.22 eV/atom
* E: -4.25 eV per atom

Unit cell a=4.474 b=5.788 c=8.503 alpha=109.87 beta=90.00 gamma=112.73
Fractional coordinates of all 9 atoms:
Cu 0.935 0.869 0.594
Cu 0.065 0.131 0.406
Cu 0.730 0.460 0.050
Cu 0.270 0.540 0.950
Pm 0.656 0.311 0.678
Pm 0.344 0.689 0.322
Pm 0.000 0.000 0.000
Ag 0.371 0.742 0.710
Ag 0.629 0.258 0.290


Entry 12:
DFT (PBE) results for a relaxed structure of BaInN3.

Results
* E: -5.04 eV per atom

Unit cell a=4.387 b=4.387 c=4.387 alpha=90.00 beta=90.00 gamma=90.00
Fractional coordinates of all 5 atoms:
N 0.000 0.500 0.000
N 0.500 0.000 0.000
N 0.000 0.000 0.500
Ba 0.500 0.500 0.500
In 0.000 0.000 0.000


Here are the calculated total moment numbers, same order: 0.0; 2.0; 0.0; 0.0; 0.0; 0.0; 0.0; 0.0; 0.0; 1.0; 0.0; 4.0 (μB/f.u.).